# 1
Computed, not measured: a relaxed Y8PuTh2 crystal at the PBE level of DFT.

Cell: 6.5614 6.5614 10.8195 Å, 115.10 115.10 65.02°
Last column: nearest neighbours and their distance in Å.
Element x y z (fractional)
Y1 0.2304 0.7461 0.7310  1 Pu 3.32, 6 Y 3.40-3.64, 3 Th 3.48-3.56
Y2 0.2539 0.7696 0.2690  1 Pu 3.32, 6 Y 3.40-3.64, 3 Th 3.48-3.56
Y3 0.3195 0.3195 0.9463  1 Th 3.32, 5 Y 3.54-3.63
Y4 0.3200 0.3200 0.3746  7 Y 3.40-3.80, 3 Th 3.44-3.54
Y5 0.6800 0.6800 0.6254  7 Y 3.40-3.80, 3 Th 3.44-3.54
Y6 0.6805 0.6805 0.0537  1 Th 3.32, 5 Y 3.54-3.63
Y7 0.7461 0.2304 0.7310  1 Pu 3.32, 6 Y 3.40-3.64, 3 Th 3.48-3.56
Y8 0.7696 0.2539 0.2690  1 Pu 3.32, 6 Y 3.40-3.64, 3 Th 3.48-3.56
Pu1 0.0000 0.0000 0.0000  4 Y 3.32
Th1 0.1778 0.1778 0.5935  10 Y 3.32-3.56, 1 Th 3.40
Th2 0.8222 0.8222 0.4065  10 Y 3.32-3.56, 1 Th 3.40

Values from the calculation:
* DFT formation energy: 209 meV per atom
* crystal system: monoclinic
* DOS at the Fermi energy: 21.05 states/eV per cell

# 2
Computed, not measured: a relaxed YCuAsO crystal at the PBE level of DFT.

Cell: 3.9252 3.9252 8.5996 Å, 90.00 90.00 90.00°
Last column: nearest neighbours and their distance in Å.
Element x y z (fractional)
Y1 0.2500 0.2500 0.1293  4 O 2.26
Y2 0.7500 0.7500 0.8707  4 O 2.26
Cu1 0.2500 0.7500 0.5000  4 As 2.45
Cu2 0.7500 0.2500 0.5000  4 As 2.45
As1 0.2500 0.2500 0.6709  4 Cu 2.45
As2 0.7500 0.7500 0.3291  4 Cu 2.45
O1 0.2500 0.7500 0.0000  4 Y 2.26
O2 0.7500 0.2500 0.0000  4 Y 2.26

Values from the calculation:
* E: -53.94 eV per cell
* crystal system: tetragonal
* DOS at the Fermi energy: 4.81 states/eV per cell

# 3
Computed, not measured: a relaxed Sn3Pt2Rh crystal at the PBE level of DFT.

Cell: 8.2034 8.2034 4.7462 Å, 90.00 90.00 59.77°
Last column: nearest neighbours and their distance in Å.
Element x y z (fractional)
Sn1 0.0811 0.5904 0.2500  1 Rh 2.65, 4 Pt 2.70-2.85
Sn2 0.2413 0.7587 0.7500  3 Rh 2.66-2.73, 2 Pt 2.73
Sn3 0.4096 0.9189 0.2500  1 Rh 2.65, 4 Pt 2.70-2.85
Sn4 0.5904 0.0811 0.7500  1 Rh 2.65, 4 Pt 2.70-2.85
Sn5 0.7587 0.2413 0.2500  3 Rh 2.66-2.73, 2 Pt 2.73
Sn6 0.9189 0.4096 0.7500  1 Rh 2.65, 4 Pt 2.70-2.85
Pt1 0.2393 0.4269 0.7500  5 Sn 2.70-2.85, 2 Pt 2.83
Pt2 0.4269 0.2393 0.2500  5 Sn 2.70-2.85, 2 Pt 2.83
Pt3 0.5731 0.7607 0.7500  5 Sn 2.70-2.85, 2 Pt 2.83
Pt4 0.7607 0.5731 0.2500  5 Sn 2.70-2.85, 2 Pt 2.83
Rh1 0.0931 0.9069 0.2500  5 Sn 2.65-2.73, 2 Rh 2.82
Rh2 0.9069 0.0931 0.7500  5 Sn 2.65-2.73, 2 Rh 2.82

Values from the calculation:
* DFT formation energy: -295 meV per atom
* crystal system: orthorhombic
* DOS at the Fermi energy: 8.40 states/eV per cell

# 4
Computed, not measured: a relaxed HoGeP crystal at the PBE level of DFT.

Cell: 7.6697 7.6697 7.6697 Å, 36.14 36.14 36.14°
Last column: nearest neighbours and their distance in Å.
Element x y z (fractional)
Ho1 0.0941 0.0941 0.0941  4 P 2.76-2.77
Ho2 0.9059 0.9059 0.9059  4 P 2.76-2.77
Ge1 0.3331 0.3331 0.3331  1 P 2.37
Ge2 0.6669 0.6669 0.6669  1 P 2.37
P1 0.2226 0.2226 0.2226  1 Ge 2.37
P2 0.7774 0.7774 0.7774  1 Ge 2.37

Values from the calculation:
* DFT formation energy: -746 meV per atom
* crystal system: trigonal
* DOS at the Fermi energy: 0.68 states/eV per cell